Record 1
# Al2Hg3 GGA-PBE optimized geometry
data_Al2Hg3
_chemical_formula_sum 'Al4 Hg6'
_symmetry_space_group_name_H-M 'P 1'
_symmetry_Int_Tables_number 1
_cell_length_a 6.680
_cell_length_b 6.680
_cell_length_c 7.153
_cell_angle_alpha 120.05
_cell_angle_beta 120.05
_cell_angle_gamma 64.67
loop_
_symmetry_equiv_pos_as_xyz
'x,y,z'
loop_
_atom_site_label
_atom_site_type_symbol
_atom_site_fract_x
_atom_site_fract_y
_atom_site_fract_z
Hg1 Hg 0.215 0.692 0.118
Hg2 Hg 0.692 0.215 0.618
Al1 Al 0.642 0.446 0.071
Hg3 Hg 0.166 0.266 0.197
Hg4 Hg 0.554 0.876 0.047
Hg5 Hg 0.876 0.554 0.547
Hg6 Hg 0.266 0.166 0.697
Al2 Al 0.814 0.974 0.909
Al3 Al 0.974 0.814 0.409
Al4 Al 0.446 0.642 0.571
# * distance to the lowest polymorph of the same formula: 21 meV per atom
# * space-group type: Cc



Record 2
# CoW2 GGA-PBE optimized geometry
data_CoW2
_chemical_formula_sum 'Co2 W4'
_symmetry_space_group_name_H-M 'P 1'
_symmetry_Int_Tables_number 1
_cell_length_a 7.346
_cell_length_b 7.346
_cell_length_c 7.346
_cell_angle_alpha 60.00
_cell_angle_beta 60.00
_cell_angle_gamma 60.00
loop_
_symmetry_equiv_pos_as_xyz
'x,y,z'
loop_
_atom_site_label
_atom_site_type_symbol
_atom_site_fract_x
_atom_site_fract_y
_atom_site_fract_z
Co1 Co 0.750 0.750 0.750
W1 W 0.875 0.875 0.875
W2 W 0.875 0.375 0.875
W3 W 0.375 0.875 0.875
W4 W 0.875 0.875 0.375
Co2 Co 0.000 0.000 0.000
# * distance to the lowest polymorph of the same formula: 3953 meV per atom
# * space-group type: Fd-3m



Record 3
# HfGaO2F GGA-PBE optimized geometry
data_HfGaO2F
_chemical_formula_sum 'Hf1 Ga1 O2 F1'
_symmetry_space_group_name_H-M 'P 1'
_symmetry_Int_Tables_number 1
_cell_length_a 3.992
_cell_length_b 3.992
_cell_length_c 4.273
_cell_angle_alpha 90.00
_cell_angle_beta 90.00
_cell_angle_gamma 90.00
loop_
_symmetry_equiv_pos_as_xyz
'x,y,z'
loop_
_atom_site_label
_atom_site_type_symbol
_atom_site_fract_x
_atom_site_fract_y
_atom_site_fract_z
O1 O 0.500 0.000 0.306
F1 F 0.500 0.500 0.866
Hf1 Hf 0.500 0.500 0.398
O2 O 0.000 0.500 0.306
Ga1 Ga 0.000 0.000 0.992
# * space-group type: P4mm



Record 4
# Nb7Pt6 GGA-PBE optimized geometry
data_Nb7Pt6
_chemical_formula_sum 'Nb7 Pt6'
_symmetry_space_group_name_H-M 'P 1'
_symmetry_Int_Tables_number 1
_cell_length_a 9.762
_cell_length_b 9.762
_cell_length_c 9.762
_cell_angle_alpha 31.22
_cell_angle_beta 31.22
_cell_angle_gamma 31.22
loop_
_symmetry_equiv_pos_as_xyz
'x,y,z'
loop_
_atom_site_label
_atom_site_type_symbol
_atom_site_fract_x
_atom_site_fract_y
_atom_site_fract_z
Nb1 Nb 0.547 0.547 0.547
Nb2 Nb 0.653 0.653 0.653
Nb3 Nb 0.835 0.835 0.835
Pt1 Pt 0.089 0.584 0.089
Nb4 Nb 0.000 0.000 0.000
Nb5 Nb 0.453 0.453 0.453
Pt2 Pt 0.911 0.911 0.416
Pt3 Pt 0.089 0.089 0.584
Pt4 Pt 0.911 0.416 0.911
Pt5 Pt 0.584 0.089 0.089
Pt6 Pt 0.416 0.911 0.911
Nb6 Nb 0.347 0.347 0.347
Nb7 Nb 0.165 0.165 0.165
# * space-group type: R-3m



Record 5
# In4Ag9 GGA-PBE optimized geometry
data_In4Ag9
_chemical_formula_sum 'In16 Ag36'
_symmetry_space_group_name_H-M 'P 1'
_symmetry_Int_Tables_number 1
_cell_length_a 9.973
_cell_length_b 9.973
_cell_length_c 9.973
_cell_angle_alpha 90.00
_cell_angle_beta 90.00
_cell_angle_gamma 90.00
loop_
_symmetry_equiv_pos_as_xyz
'x,y,z'
loop_
_atom_site_label
_atom_site_type_symbol
_atom_site_fract_x
_atom_site_fract_y
_atom_site_fract_z
Ag1 Ag 0.324 0.324 0.324
Ag2 Ag 0.318 0.682 0.972
Ag3 Ag 0.318 0.972 0.682
Ag4 Ag 0.169 0.169 0.831
In1 In 0.876 0.876 0.124
Ag5 Ag 0.395 0.605 0.395
In2 In 0.810 0.534 0.810
Ag6 Ag 0.000 0.000 0.643
Ag7 Ag 0.318 0.028 0.318
Ag8 Ag 0.324 0.676 0.676
In3 In 0.810 0.810 0.534
Ag9 Ag 0.605 0.395 0.395
Ag10 Ag 0.605 0.605 0.605
Ag11 Ag 0.395 0.395 0.605
In4 In 0.876 0.124 0.876
In5 In 0.534 0.810 0.810
Ag12 Ag 0.831 0.169 0.169
Ag13 Ag 0.676 0.676 0.324
Ag14 Ag 0.682 0.318 0.972
Ag15 Ag 0.500 0.856 0.500
In6 In 0.810 0.190 0.466
In7 In 0.124 0.124 0.124
Ag16 Ag 0.856 0.500 0.500
Ag17 Ag 0.972 0.318 0.682
Ag18 Ag 0.643 0.000 0.000
Ag19 Ag 0.000 0.643 0.000
Ag20 Ag 0.000 0.357 0.000
Ag21 Ag 0.831 0.831 0.831
In8 In 0.534 0.190 0.190
Ag22 Ag 0.028 0.682 0.682
In9 In 0.190 0.534 0.190
Ag23 Ag 0.682 0.028 0.682
Ag24 Ag 0.682 0.682 0.028
In10 In 0.190 0.466 0.810
Ag25 Ag 0.169 0.831 0.169
In11 In 0.190 0.810 0.466
Ag26 Ag 0.500 0.144 0.500
In12 In 0.190 0.190 0.534
Ag27 Ag 0.682 0.972 0.318
Ag28 Ag 0.676 0.324 0.676
Ag29 Ag 0.500 0.500 0.144
Ag30 Ag 0.500 0.500 0.856
In13 In 0.810 0.466 0.190
Ag31 Ag 0.144 0.500 0.500
Ag32 Ag 0.028 0.318 0.318
In14 In 0.466 0.810 0.190
Ag33 Ag 0.972 0.682 0.318
In15 In 0.466 0.190 0.810
Ag34 Ag 0.357 0.000 0.000
In16 In 0.124 0.876 0.876
Ag35 Ag 0.318 0.318 0.028
Ag36 Ag 0.000 0.000 0.357
# * space-group type: P-43m



Record 6
# ErHfCSe GGA-PBE optimized geometry
data_ErHfCSe
_chemical_formula_sum 'Er2 Hf2 C2 Se2'
_symmetry_space_group_name_H-M 'P 1'
_symmetry_Int_Tables_number 1
_cell_length_a 3.558
_cell_length_b 3.558
_cell_length_c 12.873
_cell_angle_alpha 90.00
_cell_angle_beta 90.00
_cell_angle_gamma 120.00
loop_
_symmetry_equiv_pos_as_xyz
'x,y,z'
loop_
_atom_site_label
_atom_site_type_symbol
_atom_site_fract_x
_atom_site_fract_y
_atom_site_fract_z
C1 C 0.000 0.000 0.500
Se1 Se 0.333 0.667 0.735
Hf1 Hf 0.333 0.667 0.409
Se2 Se 0.667 0.333 0.265
Hf2 Hf 0.667 0.333 0.591
Er1 Er 0.667 0.333 0.898
C2 C 0.000 0.000 0.000
Er2 Er 0.333 0.667 0.102
# * distance to the lowest polymorph of the same formula: 24 meV per atom
# * space-group type: P-3m1



Record 7
# NaGeBPd GGA-PBE optimized geometry
data_NaGeBPd
_chemical_formula_sum 'Na1 Ge1 B1 Pd1'
_symmetry_space_group_name_H-M 'P 1'
_symmetry_Int_Tables_number 1
_cell_length_a 4.344
_cell_length_b 4.344
_cell_length_c 4.344
_cell_angle_alpha 60.00
_cell_angle_beta 60.00
_cell_angle_gamma 60.00
loop_
_symmetry_equiv_pos_as_xyz
'x,y,z'
loop_
_atom_site_label
_atom_site_type_symbol
_atom_site_fract_x
_atom_site_fract_y
_atom_site_fract_z
Ge1 Ge 0.000 0.000 0.000
Na1 Na 0.750 0.750 0.750
Pd1 Pd 0.500 0.500 0.500
B1 B 0.250 0.250 0.250
# * distance to the lowest polymorph of the same formula: 147 meV per atom
# * space-group type: F-43m



Record 8
# Pr2Cu5Pd5 GGA-PBE optimized geometry
data_Pr2Cu5Pd5
_chemical_formula_sum 'Pr2 Cu5 Pd5'
_symmetry_space_group_name_H-M 'P 1'
_symmetry_Int_Tables_number 1
_cell_length_a 4.353
_cell_length_b 5.138
_cell_length_c 9.180
_cell_angle_alpha 90.00
_cell_angle_beta 90.00
_cell_angle_gamma 90.00
loop_
_symmetry_equiv_pos_as_xyz
'x,y,z'
loop_
_atom_site_label
_atom_site_type_symbol
_atom_site_fract_x
_atom_site_fract_y
_atom_site_fract_z
Pd1 Pd 0.000 0.500 0.665
Pd2 Pd 0.500 0.000 0.000
Pd3 Pd 0.000 0.000 0.178
Pd4 Pd 0.000 0.500 0.335
Pr1 Pr 0.000 0.000 0.500
Cu1 Cu 0.500 0.750 0.744
Cu2 Cu 0.500 0.750 0.256
Cu3 Cu 0.500 0.250 0.744
Pr2 Pr 0.000 0.500 0.000
Cu4 Cu 0.500 0.250 0.256
Cu5 Cu 0.500 0.500 0.500
Pd5 Pd 0.000 0.000 0.822
# * space-group type: Pmmm



Record 9
# SmSbAsO GGA-PBE optimized geometry
data_SmSbAsO
_chemical_formula_sum 'Sm2 Sb2 As2 O2'
_symmetry_space_group_name_H-M 'P 1'
_symmetry_Int_Tables_number 1
_cell_length_a 4.595
_cell_length_b 6.332
_cell_length_c 6.722
_cell_angle_alpha 90.00
_cell_angle_beta 90.00
_cell_angle_gamma 90.00
loop_
_symmetry_equiv_pos_as_xyz
'x,y,z'
loop_
_atom_site_label
_atom_site_type_symbol
_atom_site_fract_x
_atom_site_fract_y
_atom_site_fract_z
Sm1 Sm 0.500 0.343 0.066
Sb1 Sb 0.000 0.261 0.434
As1 As 0.000 0.170 0.850
Sb2 Sb 0.000 0.739 0.934
Sm2 Sm 0.500 0.657 0.566
As2 As 0.000 0.830 0.350
O1 O 0.500 0.655 0.905
O2 O 0.500 0.345 0.405
# * distance to the lowest polymorph of the same formula: 250 meV per atom
# * space-group type: Pmc2_1



Record 10
# CsLuSO GGA-PBE optimized geometry
data_CsLuSO
_chemical_formula_sum 'Cs2 Lu2 S2 O2'
_symmetry_space_group_name_H-M 'P 1'
_symmetry_Int_Tables_number 1
_cell_length_a 4.590
_cell_length_b 4.590
_cell_length_c 10.450
_cell_angle_alpha 90.00
_cell_angle_beta 90.00
_cell_angle_gamma 90.00
loop_
_symmetry_equiv_pos_as_xyz
'x,y,z'
loop_
_atom_site_label
_atom_site_type_symbol
_atom_site_fract_x
_atom_site_fract_y
_atom_site_fract_z
Lu1 Lu 0.250 0.250 0.949
O1 O 0.250 0.750 0.000
S1 S 0.750 0.750 0.284
Cs1 Cs 0.750 0.250 0.500
O2 O 0.750 0.250 0.000
S2 S 0.250 0.250 0.716
Cs2 Cs 0.250 0.750 0.500
Lu2 Lu 0.750 0.750 0.051
# * distance to the lowest polymorph of the same formula: 346 meV per atom
# * space-group type: P4/nmm



Record 11
# ErLuIn GGA-PBE optimized geometry
data_ErLuIn
_chemical_formula_sum 'Er1 Lu1 In1'
_symmetry_space_group_name_H-M 'P 1'
_symmetry_Int_Tables_number 1
_cell_length_a 5.100
_cell_length_b 5.100
_cell_length_c 5.100
_cell_angle_alpha 60.00
_cell_angle_beta 60.00
_cell_angle_gamma 60.00
loop_
_symmetry_equiv_pos_as_xyz
'x,y,z'
loop_
_atom_site_label
_atom_site_type_symbol
_atom_site_fract_x
_atom_site_fract_y
_atom_site_fract_z
In1 In 0.000 0.000 0.000
Er1 Er 0.250 0.250 0.250
Lu1 Lu 0.750 0.750 0.750
# * distance to the lowest polymorph of the same formula: 266 meV per atom
# * space-group type: F-43m



Record 12
# NiAgGePt GGA-PBE optimized geometry
data_NiAgGePt
_chemical_formula_sum 'Ni1 Ag1 Ge1 Pt1'
_symmetry_space_group_name_H-M 'P 1'
_symmetry_Int_Tables_number 1
_cell_length_a 4.391
_cell_length_b 4.391
_cell_length_c 4.391
_cell_angle_alpha 60.00
_cell_angle_beta 60.00
_cell_angle_gamma 60.00
loop_
_symmetry_equiv_pos_as_xyz
'x,y,z'
loop_
_atom_site_label
_atom_site_type_symbol
_atom_site_fract_x
_atom_site_fract_y
_atom_site_fract_z
Ge1 Ge 0.000 0.000 0.000
Pt1 Pt 0.250 0.250 0.250
Ag1 Ag 0.500 0.500 0.500
Ni1 Ni 0.750 0.750 0.750
# * space-group type: F-43m



Total DFT energy (no corrections), respectively: -0.1116; -0.5177; -0.5567; -0.6393; -0.2090; -0.5843; -0.2768; -0.3655; -0.4219; -0.4047; -0.2953; -0.3521 Ry/atom.